A relaxed BaFeOF2 crystal, computed with GGA+U.

Summary:
density of states at the Fermi level = 0.0 states/eV per cell
E = -5.9582 eV per atom

The structure in CIF format:
```
data_BaFeOF2
_cell_length_a 6.0848
_cell_length_b 6.0848
_cell_length_c 8.1540
_cell_angle_alpha 90.00
_cell_angle_beta 90.00
_cell_angle_gamma 90.00
_symmetry_space_group_name_H-M 'I 4/m c m'
_symmetry_Int_Tables_number 140
_symmetry_space_group_name_Hall '-I 4 2c'
loop_
_atom_site_label
_atom_site_type_symbol
_atom_site_fract_x
_atom_site_fract_y
_atom_site_fract_z
Ba1 Ba 0.0000 0.5000 0.2500
Fe1 Fe 0.0000 0.0000 0.0000
O1 O 0.0000 0.0000 0.2500
F1 F 0.2029 0.2971 0.0000
```